Record 1
DFT (PBE) results for a relaxed NaNpPb2Br8 crystal.

Space group: P2/m, No. 10
DOS at the Fermi energy, states/eV per cell: 4.4
Raw formation energy, eV/atom: -1.14

Cell and atoms, written as POSCAR:
```
NaNpPb2Br8
1.0
-3.136 4.615 -4.492
3.582 -2.621 -5.296
-6.559 -5.921 -1.505
Na Np Pb Br
1 1 2 8
direct
0.000 0.000 0.500
0.000 0.000 0.000
0.500 0.500 0.742
0.500 0.500 0.258
0.151 0.764 0.239
0.671 0.756 0.000
0.849 0.236 0.239
0.849 0.236 0.761
0.329 0.244 0.000
0.151 0.764 0.761
0.659 0.739 0.500
0.341 0.261 0.500
```

Record 2
DFT (PBE) results for a relaxed NaNpPbBr6 crystal.

Space group: P-31c, No. 163
DOS at the Fermi energy, states/eV per cell: 19.2
Raw formation energy, eV/atom: -1.23

Cell and atoms, written as POSCAR:
```
NaNpPbBr6
1.0
7.584 0.000 0.000
-3.792 6.568 0.000
0.000 0.000 13.196
Na Np Pb Br
2 2 2 12
direct
0.000 0.000 0.000
0.000 0.000 0.500
0.667 0.333 0.250
0.333 0.667 0.750
0.333 0.667 0.250
0.667 0.333 0.750
0.665 0.648 0.126
0.984 0.335 0.126
0.335 0.984 0.626
0.016 0.665 0.874
0.352 0.335 0.374
0.984 0.648 0.374
0.648 0.984 0.874
0.665 0.016 0.374
0.016 0.352 0.626
0.352 0.016 0.126
0.648 0.665 0.626
0.335 0.352 0.874
```

Record 3
DFT (PBE) results for a relaxed NaPuNpBr6 crystal.

Space group: P-31c, No. 163
DOS at the Fermi energy, states/eV per cell: 37.9
Raw formation energy, eV/atom: -1.40

Cell and atoms, written as POSCAR:
```
NaPuNpBr6
1.0
7.541 0.000 0.000
-3.770 6.531 0.000
0.000 0.000 13.225
Na Pu Np Br
2 2 2 12
direct
0.000 0.000 0.000
0.000 0.000 0.500
0.333 0.667 0.250
0.667 0.333 0.750
0.667 0.333 0.250
0.333 0.667 0.750
0.658 0.656 0.128
0.997 0.342 0.128
0.342 0.997 0.628
0.003 0.658 0.872
0.344 0.342 0.372
0.997 0.656 0.372
0.656 0.997 0.872
0.658 0.003 0.372
0.003 0.344 0.628
0.344 0.003 0.128
0.656 0.658 0.628
0.342 0.344 0.872
```

Record 4
DFT (PBE) results for a relaxed RbNa2NpBr6 crystal.

Space group: R3, No. 146
DOS at the Fermi energy, states/eV per cell: 5.0
Raw formation energy, eV/atom: -1.50

Cell and atoms, written as POSCAR:
```
RbNa2NpBr6
1.0
-7.627 0.229 -1.086
-3.987 -6.555 -0.729
-4.874 -2.278 6.405
Rb Na Np Br
1 2 1 6
direct
0.803 0.803 0.590
0.518 0.518 0.445
0.005 0.005 0.986
0.325 0.325 0.025
0.584 0.247 0.235
0.247 0.934 0.235
0.934 0.584 0.235
0.349 0.727 0.755
0.727 0.169 0.755
0.169 0.349 0.755
```

Record 5
DFT (PBE) results for a relaxed Na2NpS2Br2 crystal.

Space group: I4/mmm, No. 139
DOS at the Fermi energy, states/eV per cell: 11.1
Raw formation energy, eV/atom: -1.29

Cell and atoms, written as POSCAR:
```
Na2NpS2Br2
1.0
-1.218 4.752 -1.806
-2.815 -2.177 -3.829
-4.086 -1.171 7.238
Na Np S Br
2 1 2 2
direct
0.381 0.381 0.762
0.619 0.619 0.238
0.000 0.000 0.000
0.000 0.500 0.000
0.500 0.000 0.000
0.187 0.187 0.374
0.813 0.813 0.626
```

Record 6
DFT (PBE) results for a relaxed Na2NpSe2Br2 crystal.

Space group: I4/mmm, No. 139
DOS at the Fermi energy, states/eV per cell: 11.9
Raw formation energy, eV/atom: -1.19

Cell and atoms, written as POSCAR:
```
Na2NpSe2Br2
1.0
5.505 0.000 0.000
0.000 5.505 0.000
-2.752 -2.752 7.489
Na Np Se Br
2 1 2 2
direct
0.380 0.380 0.760
0.620 0.620 0.240
0.000 0.000 0.000
0.000 0.500 0.000
0.500 0.000 0.000
0.188 0.188 0.376
0.812 0.812 0.624
```

> The highest DOS at the Fermi energy belongs to which entry?

NaPuNpBr6